Record 1
This record from the Alexandria database describes an optimized crystal structure of SiAu2Br. The functional is PBE.

Geometry as extended XYZ:
```
4
Lattice="5.538 0.000 0.000 0.000 5.538 0.000 0.000 0.000 2.692" Properties=species:S:1:pos:R:3 pbc="T T T"
Au 0.000 0.000 0.000
Au 2.769 2.769 0.000
Br 2.769 0.000 1.346
Si 0.000 2.769 1.346
```

Calculated values
- Space group: P4/mmm, No. 123
- VASP energy: -11.42 eV/cell



Record 2
This record from the Alexandria database describes an optimized crystal structure of Si2AuBr. The functional is PBE.

Geometry as extended XYZ:
```
4
Lattice="5.398 -0.006 0.025 1.147 5.274 -0.025 -2.206 -3.959 2.932" Properties=species:S:1:pos:R:3 pbc="T T T"
Au 3.232 -0.666 1.479
Br 1.107 1.975 1.453
Si 6.419 5.167 0.000
Si 3.398 2.735 0.000
```

Calculated values
- Space group: Immm, No. 71
- VASP energy: -13.64 eV/cell